# TbCe2Y6Tm3

An optimized crystal structure of TbCe2Y6Tm3 (PBE-GGA, Alexandria).

a b c (Å): 6.139 6.139 11.740
angles (deg): 95.00 95.00 119.98
Positions (direct):
Tb (0.000, 0.000, 0.000)
Ce (0.333, 0.667, 0.000)
Ce (0.667, 0.333, 0.000)
Y (0.084, 0.419, 0.251)
Y (0.251, 0.251, 0.749)
Y (0.419, 0.084, 0.251)
Y (0.581, 0.916, 0.749)
Y (0.749, 0.749, 0.251)
Y (0.916, 0.581, 0.749)
Tm (0.166, 0.834, 0.500)
Tm (0.500, 0.500, 0.500)
Tm (0.834, 0.166, 0.500)

Summary:
E_form in meV per atom: 55
Total DFT energy (no corrections) in eV per atom: -5.669
SG: C2/m